[1]
First-principles (GGA-PBE) data for AcTbPm after structural relaxation, as listed in Alexandria via LeMat-Bulk.

Cell lengths 3.758, 3.758, 9.071 Å; angles 90.00, 90.00, 120.00 degrees
Fractional coordinates of all 3 atoms:
1 Ac 0.000 0.000 0.000
2 Tb 0.667 0.333 0.338
3 Pm 0.333 0.667 0.654

Calculated values
ΔE to the lowest computed polymorph = 4 meV per atom
Uncorrected energy = -4.45 eV/atom
Total magnetization = 0.00 μB per cell
ΔH_f (0 K) = 5 kJ/mol of atoms

=====

[2]
First-principles (GGA-PBE) data for AcTb8Pm2 after structural relaxation, as listed in Alexandria via LeMat-Bulk.

Cell lengths 9.534, 9.534, 9.534 Å; angles 146.11, 128.22, 63.33 degrees
Fractional coordinates of all 11 atoms:
1 Ac 0.000 0.000 0.000
2 Tb 0.152 0.856 0.296
3 Tb 0.161 0.661 0.500
4 Tb 0.297 0.500 0.797
5 Tb 0.440 0.144 0.296
6 Tb 0.560 0.856 0.704
7 Tb 0.703 0.500 0.203
8 Tb 0.839 0.339 0.500
9 Tb 0.848 0.144 0.704
10 Pm 0.301 0.301 0.000
11 Pm 0.699 0.699 0.000

Calculated values
ΔE to the lowest computed polymorph = 0 meV per atom
Uncorrected energy = -4.47 eV/atom
Total magnetization = 0.00 μB per cell
ΔH_f (0 K) = 13 kJ/mol of atoms

=====

[3]
First-principles (GGA-PBE) data for AcTb2Pm7 after structural relaxation, as listed in Alexandria via LeMat-Bulk.

Cell lengths 10.532, 10.532, 3.576 Å; angles 90.00, 90.00, 110.14 degrees
Fractional coordinates of all 10 atoms:
1 Ac 0.000 0.000 0.000
2 Tb 0.176 0.824 0.500
3 Tb 0.824 0.176 0.500
4 Pm 0.123 0.391 0.500
5 Pm 0.327 0.673 0.000
6 Pm 0.391 0.123 0.500
7 Pm 0.500 0.500 0.500
8 Pm 0.609 0.877 0.500
9 Pm 0.673 0.327 0.000
10 Pm 0.877 0.609 0.500

Calculated values
ΔE to the lowest computed polymorph = 0 meV per atom
Uncorrected energy = -4.27 eV/atom
Total magnetization = 0.00 μB per cell
ΔH_f (0 K) = 37 kJ/mol of atoms

=====

[4]
First-principles (GGA-PBE) data for AcTb6Pm12 after structural relaxation, as listed in Alexandria via LeMat-Bulk.

Cell lengths 8.715, 8.715, 8.715 Å; angles 88.80, 88.80, 88.80 degrees
Fractional coordinates of all 19 atoms:
1 Ac 0.000 0.000 0.000
2 Tb 0.098 0.692 0.260
3 Tb 0.260 0.098 0.692
4 Tb 0.308 0.740 0.902
5 Tb 0.692 0.260 0.098
6 Tb 0.740 0.902 0.308
7 Tb 0.902 0.308 0.740
8 Pm 0.014 0.203 0.362
9 Pm 0.203 0.362 0.014
10 Pm 0.223 0.460 0.569
11 Pm 0.362 0.014 0.203
12 Pm 0.431 0.777 0.540
13 Pm 0.460 0.569 0.223
14 Pm 0.540 0.431 0.777
15 Pm 0.569 0.223 0.460
16 Pm 0.638 0.986 0.797
17 Pm 0.777 0.540 0.431
18 Pm 0.797 0.638 0.986
19 Pm 0.986 0.797 0.638

Calculated values
ΔE to the lowest computed polymorph = 0 meV per atom
Uncorrected energy = -4.54 eV/atom
Total magnetization = 0.00 μB per cell
ΔH_f (0 K) = 14 kJ/mol of atoms

=====

[5]
First-principles (GGA-PBE) data for AcTb6Pm2 after structural relaxation, as listed in Alexandria via LeMat-Bulk.

Cell lengths 9.338, 9.338, 9.338 Å; angles 43.55, 43.55, 43.55 degrees
Fractional coordinates of all 9 atoms:
1 Ac 0.000 0.000 0.000
2 Tb 0.223 0.716 0.713
3 Tb 0.439 0.952 0.955
4 Tb 0.713 0.223 0.716
5 Tb 0.716 0.713 0.223
6 Tb 0.952 0.955 0.439
7 Tb 0.955 0.439 0.952
8 Pm 0.243 0.243 0.243
9 Pm 0.414 0.414 0.414

Calculated values
ΔE to the lowest computed polymorph = 120 meV per atom
Uncorrected energy = -4.23 eV/atom
Total magnetization = 0.00 μB per cell
ΔH_f (0 K) = 36 kJ/mol of atoms

=====

[6]
First-principles (GGA-PBE) data for Ac6TbPm2 after structural relaxation, as listed in Alexandria via LeMat-Bulk.

Cell lengths 6.569, 6.569, 9.706 Å; angles 94.92, 94.92, 113.59 degrees
Fractional coordinates of all 9 atoms:
1 Ac 0.007 0.645 0.828
2 Ac 0.209 0.209 0.654
3 Ac 0.355 0.993 0.172
4 Ac 0.645 0.007 0.828
5 Ac 0.791 0.791 0.346
6 Ac 0.993 0.355 0.172
7 Tb 0.500 0.500 0.000
8 Pm 0.291 0.709 0.500
9 Pm 0.709 0.291 0.500

Calculated values
Uncorrected energy = -4.12 eV/atom
Total magnetization = 0.00 μB per cell
ΔH_f (0 K) = 18 kJ/mol of atoms

=====

[7]
First-principles (GGA-PBE) data for AcTb2Pm5 after structural relaxation, as listed in Alexandria via LeMat-Bulk.

Cell lengths 7.348, 14.699, 5.168 Å; angles 90.00, 90.00, 90.00 degrees
Fractional coordinates of all 16 atoms:
1 Ac 0.000 0.000 0.000
2 Ac 0.500 0.500 0.000
3 Tb 0.248 0.373 0.500
4 Tb 0.252 0.873 0.500
5 Tb 0.748 0.127 0.500
6 Tb 0.752 0.627 0.500
7 Pm 0.000 0.500 0.000
8 Pm 0.001 0.253 0.000
9 Pm 0.246 0.627 0.500
10 Pm 0.254 0.127 0.500
11 Pm 0.499 0.753 0.000
12 Pm 0.500 0.000 0.000
13 Pm 0.501 0.247 0.000
14 Pm 0.746 0.873 0.500
15 Pm 0.754 0.373 0.500
16 Pm 0.999 0.747 0.000

Calculated values
ΔE to the lowest computed polymorph = 0 meV per atom
Uncorrected energy = -4.61 eV/atom
Total magnetization = 0.00 μB per cell
ΔH_f (0 K) = 3 kJ/mol of atoms

=====

[8]
First-principles (GGA-PBE) data for Ac3Tb3Pm after structural relaxation, as listed in Alexandria via LeMat-Bulk.

Cell lengths 8.419, 8.419, 8.419 Å; angles 72.44, 72.44, 72.44 degrees
Fractional coordinates of all 14 atoms:
1 Ac 0.176 0.457 0.615
2 Ac 0.385 0.824 0.543
3 Ac 0.457 0.615 0.176
4 Ac 0.543 0.385 0.824
5 Ac 0.615 0.176 0.457
6 Ac 0.824 0.543 0.385
7 Tb 0.032 0.900 0.316
8 Tb 0.100 0.684 0.968
9 Tb 0.316 0.032 0.900
10 Tb 0.684 0.968 0.100
11 Tb 0.900 0.316 0.032
12 Tb 0.968 0.100 0.684
13 Pm 0.243 0.243 0.243
14 Pm 0.757 0.757 0.757

Calculated values
Uncorrected energy = -4.37 eV/atom
Total magnetization = 0.00 μB per cell
ΔH_f (0 K) = 5 kJ/mol of atoms